Record 1
# LuInCo2

LuInCo2 after structural relaxation (GGA-PBE, Alexandria). Values from VASP.

Summary:
Formation energy from the elements ... -0.143 eV/atom
Fermi-level density of states ... 0.76 states/eV/f.u.
ρ ... 10.6 g cm⁻³
M_tot ... 0.0000 μB per atom
DFT total energy ... -22.0 eV for the cell shown
Volume ... 16.0 Å³ per atom

```
&SYSTEM
  ibrav = 0, nat = 4, ntyp = 3
/
ATOMIC_SPECIES
In 114.82 In.upf
Co 58.93 Co.upf
Lu 174.97 Lu.upf
CELL_PARAMETERS angstrom
3.357 0.000 0.000
0.000 4.362 0.000
0.000 0.000 4.362
ATOMIC_POSITIONS crystal
In 0.500 0.500 0.500
Co 0.000 0.000 0.500
Co 0.000 0.500 0.000
Lu 0.500 0.000 0.000
```

Record 2
# HgMoCl5

HgMoCl5 after structural relaxation (GGA-PBE, Alexandria). Values from VASP.

Summary:
Raw formation energy ... -71.0 kJ/mol of atoms
Fermi-level density of states ... 0.19 states/eV/f.u.
ρ ... 3.3 g cm⁻³
M_tot ... 0.2883 μB per atom
DFT total energy ... -51.0 eV for the cell shown
Volume ... 34.5 Å³ per atom

```
&SYSTEM
  ibrav = 0, nat = 14, ntyp = 3
/
ATOMIC_SPECIES
Mo 95.94 Mo.upf
Cl 35.45 Cl.upf
Hg 200.59 Hg.upf
CELL_PARAMETERS angstrom
-8.535 4.751 2.466
-3.700 -3.582 -6.631
-9.281 -0.409 5.094
ATOMIC_POSITIONS crystal
Mo 0.000 0.000 0.000
Mo 0.500 0.000 0.500
Cl 0.987 0.749 0.516
Cl 0.173 0.785 0.746
Cl 0.196 0.191 0.689
Cl 0.384 0.025 0.815
Cl 0.827 0.215 0.254
Cl 0.330 0.537 0.964
Cl 0.616 0.975 0.185
Cl 0.804 0.809 0.311
Cl 0.013 0.251 0.484
Cl 0.670 0.463 0.036
Hg 0.326 0.603 0.274
Hg 0.674 0.397 0.726
```

Record 3
# DyAlIn

DyAlIn after structural relaxation (GGA-PBE, Alexandria). Values from VASP.

Summary:
Formation energy from the elements ... -0.433 eV/atom
Fermi-level density of states ... 1.78 states/eV/f.u.
ρ ... 7.2 g cm⁻³
M_tot ... 0.0000 μB per atom
DFT total energy ... -24.8 eV for the cell shown
Volume ... 23.4 Å³ per atom

```
&SYSTEM
  ibrav = 0, nat = 6, ntyp = 3
/
ATOMIC_SPECIES
Dy 162.50 Dy.upf
Al 26.98 Al.upf
In 114.82 In.upf
CELL_PARAMETERS angstrom
-3.577 0.243 2.714
-3.988 -4.501 -1.127
0.384 -3.874 4.579
ATOMIC_POSITIONS crystal
Dy 0.441 0.810 0.307
Dy 0.559 0.190 0.693
Al 0.150 0.819 0.881
Al 0.850 0.181 0.119
In 0.169 0.393 0.269
In 0.831 0.607 0.731
```

Record 4
# KTiNi3

KTiNi3 after structural relaxation (GGA-PBE, Alexandria). Values from VASP.

Summary:
Formation energy from the elements ... 0.805 eV/atom
Fermi-level density of states ... 3.71 states/eV/f.u.
ρ ... 4.5 g cm⁻³
M_tot ... 0.0000 μB per atom
DFT total energy ... -22.3 eV for the cell shown
Volume ... 19.6 Å³ per atom
Offset from the most stable computed form ... 0.00 eV per formula unit

```
&SYSTEM
  ibrav = 0, nat = 5, ntyp = 3
/
ATOMIC_SPECIES
Ni 58.69 Ni.upf
Ti 47.87 Ti.upf
K 39.10 K.upf
CELL_PARAMETERS angstrom
-3.689 1.157 2.506
2.278 -1.087 3.855
1.559 4.325 0.299
ATOMIC_POSITIONS crystal
Ni 0.000 0.500 0.000
Ni 0.000 0.000 0.500
Ni 0.500 0.000 0.000
Ti 0.000 0.000 0.000
K 0.500 0.500 0.500
```

Record 5
# LiGaTcO5

LiGaTcO5 after structural relaxation (GGA-PBE, Alexandria). Values from VASP.

Summary:
Raw formation energy ... -147.5 kJ/mol of atoms
Fermi-level density of states ... 2.30 states/eV/f.u.
ρ ... 4.3 g cm⁻³
M_tot ... 0.1202 μB per atom
DFT total energy ... -104.7 eV for the cell shown
Volume ... 12.4 Å³ per atom

```
&SYSTEM
  ibrav = 0, nat = 16, ntyp = 4
/
ATOMIC_SPECIES
Tc 98.00 Tc.upf
O 16.00 O.upf
Li 6.94 Li.upf
Ga 69.72 Ga.upf
CELL_PARAMETERS angstrom
5.777 -0.405 0.072
-2.073 5.407 0.072
-1.478 -1.996 6.481
ATOMIC_POSITIONS crystal
Tc 0.696 0.304 0.250
Tc 0.304 0.696 0.750
O 0.039 0.662 0.865
O 0.233 0.415 0.550
O 0.071 0.929 0.250
O 0.585 0.767 0.950
O 0.767 0.585 0.450
O 0.961 0.338 0.135
O 0.929 0.071 0.750
O 0.662 0.039 0.365
O 0.415 0.233 0.050
O 0.338 0.961 0.635
Li 0.268 0.732 0.250
Li 0.732 0.268 0.750
Ga 0.000 0.000 0.000
Ga 0.000 0.000 0.500
```

Record 6
# Sc8Ge3Te3P

Sc8Ge3Te3P after structural relaxation (GGA-PBE, Alexandria). Values from VASP.

Summary:
Raw formation energy ... -93.4 kJ/mol of atoms
Fermi-level density of states ... 9.44 states/eV/f.u.
ρ ... 4.5 g cm⁻³
M_tot ... 0.0453 μB per atom
DFT total energy ... -93.9 eV for the cell shown
Volume ... 24.1 Å³ per atom

```
&SYSTEM
  ibrav = 0, nat = 15, ntyp = 4
/
ATOMIC_SPECIES
Sc 44.96 Sc.upf
Ge 72.64 Ge.upf
Te 127.60 Te.upf
P 30.97 P.upf
CELL_PARAMETERS angstrom
-0.009 -6.155 -4.973
2.947 -0.815 7.299
-7.990 0.799 -0.975
ATOMIC_POSITIONS crystal
Sc 0.739 0.478 0.717
Sc 0.766 0.022 0.288
Sc 0.256 0.022 0.288
Sc 0.766 0.532 0.288
Sc 0.744 0.978 0.712
Sc 0.234 0.468 0.712
Sc 0.261 0.522 0.283
Sc 0.234 0.978 0.712
Ge 0.500 0.000 0.500
Ge 0.000 0.500 0.500
Ge 0.500 0.500 0.500
Te 0.000 0.500 0.000
Te 0.000 0.000 0.000
Te 0.500 0.500 0.000
P 0.000 0.000 0.500
```

Record 7
# ZnFeRhAu

ZnFeRhAu after structural relaxation (GGA-PBE, Alexandria). Values from VASP.

Summary:
Formation energy from the elements ... -0.086 eV/atom
Fermi-level density of states ... 3.38 states/eV/f.u.
ρ ... 11.9 g cm⁻³
M_tot ... 0.8741 μB per atom
DFT total energy ... -20.7 eV for the cell shown
Volume ... 14.6 Å³ per atom

```
&SYSTEM
  ibrav = 0, nat = 4, ntyp = 4
/
ATOMIC_SPECIES
Fe 55.84 Fe.upf
Rh 102.91 Rh.upf
Au 196.97 Au.upf
Zn 65.41 Zn.upf
CELL_PARAMETERS angstrom
4.360 0.000 0.000
2.180 3.776 0.000
2.180 1.259 3.560
ATOMIC_POSITIONS crystal
Fe 0.500 0.500 0.500
Rh 0.250 0.250 0.250
Au 0.750 0.750 0.750
Zn 0.000 0.000 0.000
```

Record 8
# TlH2Se

TlH2Se after structural relaxation (GGA-PBE, Alexandria). Values from VASP.

Summary:
Fermi-level density of states ... 0.55 states/eV/f.u.
ρ ... 4.9 g cm⁻³
M_tot ... 0.0000 μB per atom
DFT total energy ... -26.0 eV for the cell shown
Volume ... 24.2 Å³ per atom
Offset from the most stable computed form ... 0.00 eV per formula unit

```
&SYSTEM
  ibrav = 0, nat = 8, ntyp = 3
/
ATOMIC_SPECIES
Tl 204.38 Tl.upf
Se 78.96 Se.upf
H 1.01 H.upf
CELL_PARAMETERS angstrom
-4.570 -7.551 -1.472
3.836 -1.489 1.434
-1.739 0.121 4.779
ATOMIC_POSITIONS crystal
Tl 0.310 0.415 0.750
Tl 0.690 0.585 0.250
Se 0.449 0.980 0.250
Se 0.551 0.020 0.750
H 0.990 0.768 0.676
H 0.010 0.232 0.176
H 0.010 0.232 0.324
H 0.990 0.768 0.824
```